[1]
Computed, not measured: a relaxed structure of InNi3Bi5 at the GGA-PBE level of DFT.

a b c (Å): 5.5467 5.5467 8.3011
angles (deg): 90.00 90.00 120.00
Space group P6/mmm (No. 191)
Inequivalent atoms, fractional coordinates:
In (0.0000, 0.0000, 0.0000) (multiplicity 1)
Ni (0.0000, 0.5000, 0.5000) (multiplicity 3)
Bi (0.0000, 0.0000, 0.5000) (multiplicity 1)
Bi (0.3333, 0.6667, 0.2297) (multiplicity 4)

As for the electronic total energy: -0.3227 Ry/atom. As for the crystal system: hexagonal.

[2]
Computed, not measured: a relaxed structure of In2NiBiS6 at the GGA-PBE level of DFT.

a b c (Å): 11.363 3.843 12.517
angles (deg): 90.00 115.08 90.00
Space group P2_1/m (No. 11)
Inequivalent atoms, fractional coordinates:
In (0.042, 0.250, 0.139) (multiplicity 2)
In (0.271, 0.250, 0.723) (multiplicity 2)
Ni (0.111, 0.750, 0.395) (multiplicity 2)
Bi (0.404, 0.250, 0.105) (multiplicity 2)
S (0.056, 0.250, 0.776) (multiplicity 2)
S (0.154, 0.750, 0.071) (multiplicity 2)
S (0.161, 0.750, 0.582) (multiplicity 2)
S (0.188, 0.250, 0.370) (multiplicity 2)
S (0.361, 0.750, 0.895) (multiplicity 2)
S (0.495, 0.750, 0.269) (multiplicity 2)

As for the electronic total energy: -0.3188 Ry/atom. As for the crystal system: monoclinic.

[3]
Computed, not measured: a relaxed structure of Zr2InNi2Bi at the GGA-PBE level of DFT.

a b c (Å): 6.248 6.248 12.539
angles (deg): 90.00 90.00 90.00
Space group I-42d (No. 122)
Inequivalent atoms, fractional coordinates:
Zr (0.000, 0.000, 0.245) (multiplicity 8)
In (0.000, 0.000, 0.000) (multiplicity 4)
Ni (0.250, 0.250, 0.125) (multiplicity 8)
Bi (0.000, 0.000, 0.500) (multiplicity 4)

As for the electronic total energy: -0.4639 Ry/atom. As for the crystal system: tetragonal.

[4]
Computed, not measured: a relaxed structure of NpIn2Bi at the GGA-PBE level of DFT.

a b c (Å): 4.623 4.623 4.977
angles (deg): 90.00 90.00 90.00
Space group P4/mmm (No. 123)
Inequivalent atoms, fractional coordinates:
Np (0.000, 0.000, 0.000) (multiplicity 1)
In (0.000, 0.500, 0.500) (multiplicity 2)
Bi (0.500, 0.500, 0.000) (multiplicity 1)

As for the electronic total energy: -0.4148 Ry/atom. As for the crystal system: tetragonal.

[5]
Computed, not measured: a relaxed structure of InBi5Os3 at the GGA-PBE level of DFT.

a b c (Å): 5.7341 5.7341 8.2423
angles (deg): 90.00 90.00 120.00
Space group P6/mmm (No. 191)
Inequivalent atoms, fractional coordinates:
In (0.0000, 0.0000, 0.0000) (multiplicity 1)
Bi (0.0000, 0.0000, 0.5000) (multiplicity 1)
Bi (0.3333, 0.6667, 0.2171) (multiplicity 4)
Os (0.0000, 0.5000, 0.5000) (multiplicity 3)

As for the electronic total energy: -0.4218 Ry/atom. As for the crystal system: hexagonal.

[6]
Computed, not measured: a relaxed structure of PaInBi at the GGA-PBE level of DFT.

a b c (Å): 7.309 7.309 7.309
angles (deg): 90.00 90.00 90.00
Space group F-43m (No. 216)
Inequivalent atoms, fractional coordinates:
Pa (0.000, 0.000, 0.000) (multiplicity 4)
In (0.250, 0.250, 0.750) (multiplicity 4)
Bi (0.000, 0.000, 0.500) (multiplicity 4)

As for the electronic total energy: -0.3620 Ry/atom. As for the crystal system: cubic.

[7]
Computed, not measured: a relaxed structure of Pa2InBi3 at the GGA-PBE level of DFT.

a b c (Å): 4.424 4.424 8.947
angles (deg): 90.00 90.00 90.00
Space group P-4m2 (No. 115)
Inequivalent atoms, fractional coordinates:
Pa (0.000, 0.500, 0.218) (multiplicity 2)
In (0.000, 0.000, 0.500) (multiplicity 1)
Bi (0.000, 0.500, 0.854) (multiplicity 2)
Bi (0.500, 0.500, 0.500) (multiplicity 1)

As for the electronic total energy: -0.4283 Ry/atom. As for the crystal system: tetragonal.

[8]
Computed, not measured: a relaxed structure of In2BiPdS6 at the GGA-PBE level of DFT.

a b c (Å): 11.418 3.884 12.681
angles (deg): 90.00 114.48 90.00
Space group P2_1/m (No. 11)
Inequivalent atoms, fractional coordinates:
In (0.034, 0.250, 0.134) (multiplicity 2)
In (0.280, 0.250, 0.732) (multiplicity 2)
Bi (0.398, 0.250, 0.101) (multiplicity 2)
Pd (0.078, 0.750, 0.393) (multiplicity 2)
S (0.076, 0.250, 0.796) (multiplicity 2)
S (0.153, 0.750, 0.076) (multiplicity 2)
S (0.164, 0.750, 0.596) (multiplicity 2)
S (0.171, 0.250, 0.363) (multiplicity 2)
S (0.369, 0.750, 0.900) (multiplicity 2)
S (0.490, 0.750, 0.263) (multiplicity 2)

As for the electronic total energy: -0.3152 Ry/atom. As for the crystal system: monoclinic.

[9]
Computed, not measured: a relaxed structure of Zr2InBiPd2 at the GGA-PBE level of DFT.

a b c (Å): 6.456 6.456 13.079
angles (deg): 90.00 90.00 90.00
Space group I-42d (No. 122)
Inequivalent atoms, fractional coordinates:
Zr (0.000, 0.000, 0.246) (multiplicity 8)
In (0.000, 0.000, 0.000) (multiplicity 4)
Bi (0.000, 0.000, 0.500) (multiplicity 4)
Pd (0.248, 0.250, 0.125) (multiplicity 8)

As for the electronic total energy: -0.4635 Ry/atom. As for the crystal system: tetragonal.

[10]
Computed, not measured: a relaxed structure of InBiPt2 at the GGA-PBE level of DFT.

a b c (Å): 4.2788 4.2788 5.5640
angles (deg): 90.00 90.00 120.00
Space group P-6m2 (No. 187)
Inequivalent atoms, fractional coordinates:
In (0.0000, 0.0000, 0.0000) (multiplicity 1)
Bi (0.6667, 0.3333, 0.5000) (multiplicity 1)
Pt (0.3333, 0.6667, 0.2444) (multiplicity 2)

As for the electronic total energy: -0.3767 Ry/atom. As for the crystal system: hexagonal.

[11]
Computed, not measured: a relaxed structure of Zr2InBiPt2 at the GGA-PBE level of DFT.

a b c (Å): 6.473 6.473 12.975
angles (deg): 90.00 90.00 90.00
Space group I-42d (No. 122)
Inequivalent atoms, fractional coordinates:
Zr (0.000, 0.000, 0.245) (multiplicity 8)
In (0.000, 0.000, 0.000) (multiplicity 4)
Bi (0.000, 0.000, 0.500) (multiplicity 4)
Pt (0.246, 0.250, 0.125) (multiplicity 8)

As for the electronic total energy: -0.5014 Ry/atom. As for the crystal system: tetragonal.

[12]
Computed, not measured: a relaxed structure of PuInBi at the GGA-PBE level of DFT.

a b c (Å): 7.308 7.308 7.308
angles (deg): 90.00 90.00 90.00
Space group F-43m (No. 216)
Inequivalent atoms, fractional coordinates:
Pu (0.000, 0.000, 0.000) (multiplicity 4)
In (0.250, 0.250, 0.750) (multiplicity 4)
Bi (0.000, 0.000, 0.500) (multiplicity 4)

As for the electronic total energy: -0.5107 Ry/atom. As for the crystal system: cubic.

[13]
Computed, not measured: a relaxed structure of InRe3Bi5 at the GGA-PBE level of DFT.

a b c (Å): 5.6325 5.6325 8.5380
angles (deg): 90.00 90.00 120.00
Space group P6/mmm (No. 191)
Inequivalent atoms, fractional coordinates:
In (0.0000, 0.0000, 0.0000) (multiplicity 1)
Re (0.0000, 0.5000, 0.5000) (multiplicity 3)
Bi (0.0000, 0.0000, 0.5000) (multiplicity 1)
Bi (0.3333, 0.6667, 0.2111) (multiplicity 4)

As for the electronic total energy: -0.4475 Ry/atom. As for the crystal system: hexagonal.

[14]
Computed, not measured: a relaxed structure of InReBi at the GGA-PBE level of DFT.

a b c (Å): 6.618 6.618 6.618
angles (deg): 90.00 90.00 90.00
Space group F-43m (No. 216)
Inequivalent atoms, fractional coordinates:
In (0.000, 0.000, 0.000) (multiplicity 4)
Re (0.250, 0.250, 0.750) (multiplicity 4)
Bi (0.000, 0.000, 0.500) (multiplicity 4)

As for the electronic total energy: -0.4101 Ry/atom. As for the crystal system: cubic.

[15]
Computed, not measured: a relaxed structure of ZrIn2BiS6 at the GGA-PBE level of DFT.

a b c (Å): 11.670 3.899 12.864
angles (deg): 90.00 116.75 90.00
Space group P2_1/m (No. 11)
Inequivalent atoms, fractional coordinates:
Zr (0.186, 0.250, 0.406) (multiplicity 2)
In (0.047, 0.750, 0.133) (multiplicity 2)
In (0.265, 0.750, 0.729) (multiplicity 2)
Bi (0.417, 0.750, 0.105) (multiplicity 2)
S (0.027, 0.750, 0.766) (multiplicity 2)
S (0.154, 0.250, 0.068) (multiplicity 2)
S (0.156, 0.250, 0.579) (multiplicity 2)
S (0.290, 0.750, 0.371) (multiplicity 2)
S (0.359, 0.250, 0.901) (multiplicity 2)
S (0.494, 0.750, 0.733) (multiplicity 2)

As for the electronic total energy: -0.3620 Ry/atom. As for the crystal system: monoclinic.

[16]
Computed, not measured: a relaxed structure of TaInBi at the GGA-PBE level of DFT.

a b c (Å): 6.889 6.889 6.889
angles (deg): 90.00 90.00 90.00
Space group F-43m (No. 216)
Inequivalent atoms, fractional coordinates:
Ta (0.000, 0.000, 0.000) (multiplicity 4)
In (0.250, 0.250, 0.250) (multiplicity 4)
Bi (0.250, 0.250, 0.750) (multiplicity 4)

As for the electronic total energy: -0.3992 Ry/atom. As for the crystal system: cubic.

[17]
Computed, not measured: a relaxed structure of In2TcBi at the GGA-PBE level of DFT.

a b c (Å): 7.116 7.116 7.116
angles (deg): 90.00 90.00 90.00
Space group F-43m (No. 216)
Inequivalent atoms, fractional coordinates:
In (0.000, 0.000, 0.000) (multiplicity 4)
In (0.250, 0.250, 0.250) (multiplicity 4)
Tc (0.000, 0.000, 0.500) (multiplicity 4)
Bi (0.250, 0.250, 0.750) (multiplicity 4)

As for the electronic total energy: -0.3190 Ry/atom. As for the crystal system: cubic.

[18]
Computed, not measured: a relaxed structure of TmInBi at the GGA-PBE level of DFT.

a b c (Å): 7.415 7.415 7.415
angles (deg): 90.00 90.00 90.00
Space group F-43m (No. 216)
Inequivalent atoms, fractional coordinates:
Tm (0.000, 0.000, 0.000) (multiplicity 4)
In (0.000, 0.000, 0.500) (multiplicity 4)
Bi (0.250, 0.250, 0.750) (multiplicity 4)

As for the distance to the lowest polymorph of the same formula: 150 meV/atom. As for the electronic total energy: -0.2761 Ry/atom. As for the crystal system: cubic.

[19]
Computed, not measured: a relaxed structure of TmInBi at the GGA-PBE level of DFT.

a b c (Å): 7.270 7.270 7.270
angles (deg): 90.00 90.00 90.00
Space group F-43m (No. 216)
Inequivalent atoms, fractional coordinates:
Tm (0.000, 0.000, 0.000) (multiplicity 4)
In (0.250, 0.250, 0.250) (multiplicity 4)
Bi (0.250, 0.250, 0.750) (multiplicity 4)

As for the distance to the lowest polymorph of the same formula: 0 meV/atom. As for the electronic total energy: -0.2872 Ry/atom. As for the crystal system: cubic.

[20]
Computed, not measured: a relaxed structure of InBi5W3 at the GGA-PBE level of DFT.

a b c (Å): 5.6642 5.6642 8.7122
angles (deg): 90.00 90.00 120.00
Space group P6/mmm (No. 191)
Inequivalent atoms, fractional coordinates:
In (0.0000, 0.0000, 0.0000) (multiplicity 1)
Bi (0.0000, 0.0000, 0.5000) (multiplicity 1)
Bi (0.3333, 0.6667, 0.2108) (multiplicity 4)
W (0.0000, 0.5000, 0.5000) (multiplicity 3)

As for the electronic total energy: -0.4687 Ry/atom. As for the crystal system: hexagonal.

[21]
Computed, not measured: a relaxed structure of ZnInBi2 at the GGA-PBE level of DFT.

a b c (Å): 7.660 7.660 7.660
angles (deg): 90.00 90.00 90.00
Space group F-43m (No. 216)
Inequivalent atoms, fractional coordinates:
Zn (0.000, 0.000, 0.000) (multiplicity 4)
In (0.250, 0.250, 0.250) (multiplicity 4)
Bi (0.000, 0.000, 0.500) (multiplicity 4)
Bi (0.250, 0.250, 0.750) (multiplicity 4)

As for the electronic total energy: -0.2109 Ry/atom. As for the crystal system: cubic.

[22]
Computed, not measured: a relaxed structure of Zr5InBi3 at the GGA-PBE level of DFT.

a b c (Å): 8.9787 8.9787 6.0133
angles (deg): 90.00 90.00 120.00
Space group P6_3/mcm (No. 193)
Inequivalent atoms, fractional coordinates:
Zr (0.0000, 0.2798, 0.2500) (multiplicity 6)
Zr (0.3333, 0.6667, 0.0000) (multiplicity 4)
In (0.0000, 0.0000, 0.0000) (multiplicity 2)
Bi (0.0000, 0.3837, 0.7500) (multiplicity 6)

As for the electronic total energy: -0.4990 Ry/atom. As for the crystal system: hexagonal.

[23]
Computed, not measured: a relaxed structure of Zr3InBi5 at the GGA-PBE level of DFT.

a b c (Å): 6.0227 6.0227 8.9004
angles (deg): 90.00 90.00 120.00
Space group P6/mmm (No. 191)
Inequivalent atoms, fractional coordinates:
Zr (0.0000, 0.5000, 0.0000) (multiplicity 3)
In (0.0000, 0.0000, 0.5000) (multiplicity 1)
Bi (0.0000, 0.0000, 0.0000) (multiplicity 1)
Bi (0.3333, 0.6667, 0.2947) (multiplicity 4)

As for the electronic total energy: -0.4051 Ry/atom. As for the crystal system: hexagonal.